First-principles (PBE) data for an optimized crystal structure of Sr3U3ZnN8, as listed in Alexandria via LeMat-Bulk.

Magnetic moment, Bohr magnetons per cell: 6.10
Calculated volume, Å³/atom: 16.373
Energy, eV per atom: -8.0261

abc: 6.9337 6.9337 17.6987
angles: 90.00 90.00 120.00
With the nearest neighbours (Å) after each atom.
Space group R-3m (No. 166, hexagonal axes)
Unique sites:
1 Sr 0.0000 0.5000 0.0000 [9 per cell]  6 N 2.66-2.78
2 U 0.0000 0.5000 0.5000 [9 per cell]  6 N 2.23-2.33
3 Zn 0.0000 0.0000 0.5000 [3 per cell]  6 N 2.38
4 N 0.0000 0.0000 0.2346 [6 per cell]  3 U 2.33
5 N 0.0190 0.5095 0.7723 [18 per cell]  2 U 2.23, 1 Zn 2.38

***

First-principles (PBE) data for an optimized crystal structure of Sr3Zr2UN6, as listed in Alexandria via LeMat-Bulk.

Magnetic moment, Bohr magnetons per cell: 1.58
Calculated volume, Å³/atom: 15.213
Energy, eV per atom: -8.2431

abc: 5.9496 10.3008 6.2789
angles: 90.00 108.40 90.00
With the nearest neighbours (Å) after each atom.
Space group C2/m (No. 12)
Unique sites:
1 Sr 0.0000 0.0000 0.0000 [2 per cell]  6 N 2.67-2.71
2 Sr 0.0000 0.3306 0.0000 [4 per cell]  6 N 2.67-2.69
3 Zr 0.0000 0.1664 0.5000 [4 per cell]  6 N 2.32
4 U 0.0000 0.5000 0.5000 [2 per cell]  6 N 2.27
5 N 0.2292 0.3366 0.6976 [8 per cell]  1 U 2.27, 2 Zr 2.32
6 N 0.2392 0.0000 0.6972 [4 per cell]  1 U 2.27, 2 Zr 2.32

***

Q: Which of these has the lowest magnetic moment?
A: Sr3Zr2UN6

***

Q: Which value of calculated volume does entry 2 give?
A: 15.213 Å³/atom

***

Please write out number 2 again, unchanged.
First-principles (PBE) data for an optimized crystal structure of Sr3Zr2UN6, as listed in Alexandria via LeMat-Bulk.

Magnetic moment, Bohr magnetons per cell: 1.58
Calculated volume, Å³/atom: 15.213
Energy, eV per atom: -8.2431

abc: 5.9496 10.3008 6.2789
angles: 90.00 108.40 90.00
With the nearest neighbours (Å) after each atom.
Space group C2/m (No. 12)
Unique sites:
1 Sr 0.0000 0.0000 0.0000 [2 per cell]  6 N 2.67-2.71
2 Sr 0.0000 0.3306 0.0000 [4 per cell]  6 N 2.67-2.69
3 Zr 0.0000 0.1664 0.5000 [4 per cell]  6 N 2.32
4 U 0.0000 0.5000 0.5000 [2 per cell]  6 N 2.27
5 N 0.2292 0.3366 0.6976 [8 per cell]  1 U 2.27, 2 Zr 2.32
6 N 0.2392 0.0000 0.6972 [4 per cell]  1 U 2.27, 2 Zr 2.32

***

Q: The lowest magnetic moment belongs to which entry?
A: Sr3Zr2UN6